Compound: Ni2GePt5
Source: the Alexandria database
Functional: GGA-PBE
Structure: relaxed

The structure in CIF format:
```
data_Ni2GePt5
_symmetry_space_group_name_H-M 'P b a m'
_symmetry_Int_Tables_number 55
_symmetry_space_group_name_Hall '-P 2 2ab'
_cell_length_a 5.473
_cell_length_b 10.672
_cell_length_c 3.965
_cell_angle_alpha 90.00
_cell_angle_beta 90.00
_cell_angle_gamma 90.00
loop_
_atom_site_label
_atom_site_type_symbol
_atom_site_fract_x
_atom_site_fract_y
_atom_site_fract_z
Ni1 Ni 0.202 0.137 0.000
Ge1 Ge 0.000 0.500 0.500
Pt1 Pt 0.000 0.000 0.500
Pt2 Pt 0.047 0.740 0.500
Pt3 Pt 0.212 0.389 0.000
```

Output
**ΔH_f (0 K)**: -19.3 kJ/mol of atoms

---

Compound: NiGePt2
Source: the Alexandria database
Functional: GGA-PBE
Structure: relaxed

The structure in CIF format:
```
data_NiGePt2
_symmetry_space_group_name_H-M 'I -4 2 d'
_symmetry_Int_Tables_number 122
_symmetry_space_group_name_Hall 'I -4 2bw'
_cell_length_a 3.811
_cell_length_b 3.811
_cell_length_c 17.452
_cell_angle_alpha 90.00
_cell_angle_beta 90.00
_cell_angle_gamma 90.00
loop_
_atom_site_label
_atom_site_type_symbol
_atom_site_fract_x
_atom_site_fract_y
_atom_site_fract_z
Ni1 Ni 0.000 0.000 0.000
Ge1 Ge 0.000 0.000 0.500
Pt1 Pt 0.245 0.250 0.125
```

Output
**ΔH_f (0 K)**: -4.9 kJ/mol of atoms

---

Compound: NiGePt4
Source: the Alexandria database
Functional: GGA-PBE
Structure: relaxed

The structure in CIF format:
```
data_NiGePt4
_symmetry_space_group_name_H-M 'P 4/m m m'
_symmetry_Int_Tables_number 123
_symmetry_space_group_name_Hall '-P 4 2'
_cell_length_a 4.154
_cell_length_b 4.154
_cell_length_c 5.733
_cell_angle_alpha 90.00
_cell_angle_beta 90.00
_cell_angle_gamma 90.00
loop_
_atom_site_label
_atom_site_type_symbol
_atom_site_fract_x
_atom_site_fract_y
_atom_site_fract_z
Ni1 Ni 0.000 0.000 0.000
Ge1 Ge 0.500 0.500 0.500
Pt1 Pt 0.000 0.500 0.248
```

Output
**ΔH_f (0 K)**: -12.7 kJ/mol of atoms

---

Compound: Ni9Ge4Pt2
Source: the Alexandria database
Functional: GGA-PBE
Structure: relaxed

The structure in CIF format:
```
data_Ni9Ge4Pt2
_symmetry_space_group_name_H-M 'C 1 2/m 1'
_symmetry_Int_Tables_number 12
_symmetry_space_group_name_Hall '-C 2y'
_cell_length_a 7.418
_cell_length_b 3.795
_cell_length_c 13.533
_cell_angle_alpha 90.00
_cell_angle_beta 98.35
_cell_angle_gamma 90.00
loop_
_atom_site_label
_atom_site_type_symbol
_atom_site_fract_x
_atom_site_fract_y
_atom_site_fract_z
Ni1 Ni 0.000 0.000 0.000
Ni2 Ni 0.003 0.000 0.821
Ni3 Ni 0.010 0.000 0.405
Ni4 Ni 0.160 0.500 0.528
Ni5 Ni 0.174 0.500 0.932
Ge1 Ge 0.160 0.500 0.117
Ge2 Ge 0.178 0.500 0.355
Pt1 Pt 0.162 0.500 0.726
```

Output
**ΔH_f (0 K)**: -22.2 kJ/mol of atoms

---

Compound: Ni5Ge4Pt
Source: the Alexandria database
Functional: GGA-PBE
Structure: relaxed

The structure in CIF format:
```
data_Ni5Ge4Pt
_symmetry_space_group_name_H-M 'P m m n'
_symmetry_Int_Tables_number 59
_cell_length_a 8.327
_cell_length_b 8.774
_cell_length_c 3.841
_cell_angle_alpha 90.00
_cell_angle_beta 90.00
_cell_angle_gamma 90.00
loop_
_symmetry_equiv_pos_as_xyz
'x,y,z'
'-x,-y,-z'
'-x+1/2,-y+1/2,z'
'x+1/2,y+1/2,-z'
'x+1/2,-y,-z'
'-x+1/2,y,z'
'-x,y+1/2,-z'
'x,-y+1/2,z'
loop_
_atom_site_label
_atom_site_type_symbol
_atom_site_fract_x
_atom_site_fract_y
_atom_site_fract_z
Ni1 Ni 0.092 0.006 0.250
Ni2 Ni 0.250 0.250 0.250
Ge1 Ge 0.049 0.750 0.747
Ge2 Ge 0.250 0.078 0.750
Pt1 Pt 0.250 0.750 0.247
```

Output
**ΔH_f (0 K)**: -21.5 kJ/mol of atoms

---

Compound: Ni2GePt8
Source: the Alexandria database
Functional: GGA-PBE
Structure: relaxed

The structure in CIF format:
```
data_Ni2GePt8
_symmetry_space_group_name_H-M 'C 1 2/m 1'
_symmetry_Int_Tables_number 12
_symmetry_space_group_name_Hall '-C 2y'
_cell_length_a 13.900
_cell_length_b 4.001
_cell_length_c 6.104
_cell_angle_alpha 90.00
_cell_angle_beta 104.67
_cell_angle_gamma 90.00
loop_
_atom_site_label
_atom_site_type_symbol
_atom_site_fract_x
_atom_site_fract_y
_atom_site_fract_z
Ni1 Ni 0.223 0.000 0.140
Ge1 Ge 0.000 0.500 0.500
Pt1 Pt 0.044 0.000 0.235
Pt2 Pt 0.097 0.500 0.955
Pt3 Pt 0.149 0.000 0.708
Pt4 Pt 0.178 0.500 0.423
```

Output
**ΔH_f (0 K)**: -9.9 kJ/mol of atoms

---

Compound: Ni3GePt4
Source: the Alexandria database
Functional: GGA-PBE
Structure: relaxed

The structure in CIF format:
```
data_Ni3GePt4
_symmetry_space_group_name_H-M 'I 4/m m m'
_symmetry_Int_Tables_number 139
_symmetry_space_group_name_Hall '-I 4 2'
_cell_length_a 3.922
_cell_length_b 3.922
_cell_length_c 14.390
_cell_angle_alpha 90.00
_cell_angle_beta 90.00
_cell_angle_gamma 90.00
loop_
_atom_site_label
_atom_site_type_symbol
_atom_site_fract_x
_atom_site_fract_y
_atom_site_fract_z
Ni1 Ni 0.000 0.000 0.000
Ni2 Ni 0.000 0.000 0.248
Ge1 Ge 0.000 0.000 0.500
Pt1 Pt 0.000 0.500 0.125
```

Output
**ΔH_f (0 K)**: -19.0 kJ/mol of atoms

---

Compound: Ni6GePt5
Source: the Alexandria database
Functional: GGA-PBE
Structure: relaxed

The structure in CIF format:
```
data_Ni6GePt5
_symmetry_space_group_name_H-M 'I m m m'
_symmetry_Int_Tables_number 71
_symmetry_space_group_name_Hall '-I 2 2'
_cell_length_a 3.804
_cell_length_b 7.396
_cell_length_c 11.340
_cell_angle_alpha 90.00
_cell_angle_beta 90.00
_cell_angle_gamma 90.00
loop_
_atom_site_label
_atom_site_type_symbol
_atom_site_fract_x
_atom_site_fract_y
_atom_site_fract_z
Ni1 Ni 0.000 0.246 0.000
Ni2 Ni 0.000 0.250 0.334
Ge1 Ge 0.000 0.000 0.500
Pt1 Pt 0.000 0.000 0.169
Pt2 Pt 0.000 0.500 0.158
Pt3 Pt 0.000 0.500 0.500
```

Output
**ΔH_f (0 K)**: -14.1 kJ/mol of atoms

---

Compound: Ni4GePt5
Source: the Alexandria database
Functional: GGA-PBE
Structure: relaxed

The structure in CIF format:
```
data_Ni4GePt5
_symmetry_space_group_name_H-M 'P 4/m m m'
_symmetry_Int_Tables_number 123
_symmetry_space_group_name_Hall '-P 4 2'
_cell_length_a 2.783
_cell_length_b 2.783
_cell_length_c 17.940
_cell_angle_alpha 90.00
_cell_angle_beta 90.00
_cell_angle_gamma 90.00
loop_
_atom_site_label
_atom_site_type_symbol
_atom_site_fract_x
_atom_site_fract_y
_atom_site_fract_z
Ni1 Ni 0.000 0.000 0.099
Ni2 Ni 0.000 0.000 0.295
Ge1 Ge 0.000 0.000 0.500
Pt1 Pt 0.500 0.500 0.000
Pt2 Pt 0.500 0.500 0.197
Pt3 Pt 0.500 0.500 0.397
```

Output
**ΔH_f (0 K)**: -8.2 kJ/mol of atoms

---

Compound: Ni8GePt2
Source: the Alexandria database
Functional: GGA-PBE
Structure: relaxed

The structure in CIF format:
```
data_Ni8GePt2
_symmetry_space_group_name_H-M 'C 1 2/m 1'
_symmetry_Int_Tables_number 12
_symmetry_space_group_name_Hall '-C 2y'
_cell_length_a 13.009
_cell_length_b 3.671
_cell_length_c 5.774
_cell_angle_alpha 90.00
_cell_angle_beta 106.29
_cell_angle_gamma 90.00
loop_
_atom_site_label
_atom_site_type_symbol
_atom_site_fract_x
_atom_site_fract_y
_atom_site_fract_z
Ni1 Ni 0.041 0.000 0.225
Ni2 Ni 0.086 0.500 0.946
Ni3 Ni 0.133 0.000 0.672
Ni4 Ni 0.177 0.500 0.408
Ge1 Ge 0.000 0.500 0.500
Pt1 Pt 0.223 0.000 0.144
```

Output
**ΔH_f (0 K)**: -12.2 kJ/mol of atoms

---

Compound: Ni2GePt3
Source: the Alexandria database
Functional: GGA-PBE
Structure: relaxed

The structure in CIF format:
```
data_Ni2GePt3
_symmetry_space_group_name_H-M 'C m m m'
_symmetry_Int_Tables_number 65
_symmetry_space_group_name_Hall '-C 2 2'
_cell_length_a 3.902
_cell_length_b 12.006
_cell_length_c 7.201
_cell_angle_alpha 90.00
_cell_angle_beta 90.00
_cell_angle_gamma 90.00
loop_
_atom_site_label
_atom_site_type_symbol
_atom_site_fract_x
_atom_site_fract_y
_atom_site_fract_z
Ni1 Ni 0.000 0.000 0.000
Ni2 Ni 0.000 0.000 0.500
Ni3 Ni 0.000 0.327 0.000
Ge1 Ge 0.000 0.355 0.500
Pt1 Pt 0.000 0.168 0.257
Pt2 Pt 0.000 0.500 0.231
```

Output
**ΔH_f (0 K)**: -19.1 kJ/mol of atoms

---

Compound: Ni3Ge2Pt2
Source: the Alexandria database
Functional: GGA-PBE
Structure: relaxed

The structure in CIF format:
```
data_Ni3Ge2Pt2
_symmetry_space_group_name_H-M 'C 1 2/m 1'
_symmetry_Int_Tables_number 12
_symmetry_space_group_name_Hall '-C 2y'
_cell_length_a 15.276
_cell_length_b 2.838
_cell_length_c 4.419
_cell_angle_alpha 90.00
_cell_angle_beta 96.05
_cell_angle_gamma 90.00
loop_
_atom_site_label
_atom_site_type_symbol
_atom_site_fract_x
_atom_site_fract_y
_atom_site_fract_z
Ni1 Ni 0.000 0.000 0.000
Ni2 Ni 0.246 0.500 0.740
Ge1 Ge 0.132 0.500 0.064
Pt1 Pt 0.096 0.000 0.536
```

Output
**ΔH_f (0 K)**: -20.0 kJ/mol of atoms